# Tl6Hg12Te (GGA-PBE, optimized geometry)
# polymorph energy (0 for the lowest one): 0 meV/atom
# uncorrected formation energy: -0.027 eV per atom
data_Tl6Hg12Te
_space_group_name_H-M_alt 'R -3'
_space_group_IT_number 148
_space_group_name_Hall '-R 3'
_cell_length_a 10.8917
_cell_length_b 10.8917
_cell_length_c 17.1109
_cell_angle_alpha 90.00
_cell_angle_beta 90.00
_cell_angle_gamma 120.00
loop_
_atom_site_label
_atom_site_type_symbol
_atom_site_fract_x
_atom_site_fract_y
_atom_site_fract_z
_atom_site_occupancy
Tl1 Tl 0.0311 0.2759 0.4099 1
Hg1 Hg 0.0359 0.8406 0.0768 1
Hg2 Hg 0.0454 0.8565 0.7651 1
Te1 Te 0.0000 0.0000 0.5000 1